{"formula": "MoAu3", "functional": "PBE-GGA", "state": "relaxed", "lattice_angstrom": [[5.137, -0.046, 0.000], [-1.459, 4.926, 0.000], [0.000, 0.000, 2.779]], "species": ["Au", "Au", "Au", "Mo"], "fractional_positions": [[0.000, 0.000, 0.000], [0.000, 0.500, 0.500], [0.500, 0.000, 0.500], [0.500, 0.500, 0.000]], "vol_a3_per_cell": 70.1, "ef_mev_per_atom": 325, "m_tot_mub_per_atom": 0.2106}

{"formula": "Mo4Au", "functional": "PBE-GGA", "state": "relaxed", "lattice_angstrom": [[-1.567, 2.326, 4.428], [-0.902, -0.290, -5.155], [-2.028, -4.697, 1.141]], "species": ["Mo", "Mo", "Mo", "Mo", "Au"], "fractional_positions": [[0.815, 0.614, 0.429], [0.185, 0.386, 0.571], [0.614, 0.185, 0.800], [0.386, 0.815, 0.200], [0.000, 0.000, 0.000]], "vol_a3_per_cell": 81.3, "e_above_lowest_polymorph_ev_per_fu": 0.00, "ef_mev_per_atom": 221, "m_tot_mub_per_atom": 0.0000}

{"formula": "MoAu", "functional": "PBE-GGA", "state": "relaxed", "lattice_angstrom": [[9.899, 0.001, 0.001], [9.494, 2.803, 0.001], [9.494, 1.373, 2.444]], "species": ["Au", "Au", "Mo", "Mo"], "fractional_positions": [[0.002, 0.002, 0.002], [0.248, 0.248, 0.248], [0.499, 0.499, 0.499], [0.751, 0.751, 0.751]], "vol_a3_per_cell": 67.8, "ef_mev_per_atom": 290, "m_tot_mub_per_atom": 0.0000}

{"formula": "MoAu", "functional": "PBE-GGA", "state": "relaxed", "lattice_angstrom": [[5.094, -0.002, -0.001], [4.311, 2.713, -0.001], [4.311, 1.243, 2.412]], "species": ["Au", "Mo"], "fractional_positions": [[0.000, 0.000, 0.000], [0.500, 0.500, 0.500]], "vol_a3_per_cell": 33.4, "ef_mev_per_atom": 333, "m_tot_mub_per_atom": 0.0000}

{"formula": "Mo2Au", "functional": "PBE-GGA", "state": "relaxed", "lattice_angstrom": [[-6.054, 1.962, -4.746], [4.136, -1.632, 6.578], [1.172, 4.584, 0.401]], "species": ["Mo", "Mo", "Mo", "Mo", "Au", "Au"], "fractional_positions": [[0.388, 0.612, 0.750], [0.049, 0.951, 0.750], [0.951, 0.049, 0.250], [0.612, 0.388, 0.250], [0.717, 0.283, 0.750], [0.283, 0.717, 0.250]], "vol_a3_per_cell": 99.4, "e_above_lowest_polymorph_ev_per_fu": 0.18, "ef_mev_per_atom": 277, "m_tot_mub_per_atom": 0.0000}

{"formula": "Mo5Au3", "functional": "PBE-GGA", "state": "relaxed", "lattice_angstrom": [[-5.206, 4.860, 3.939], [-1.738, -7.891, -0.969], [2.211, -0.997, 4.151]], "species": ["Mo", "Mo", "Mo", "Mo", "Mo", "Mo", "Mo", "Mo", "Mo", "Mo", "Au", "Au", "Au", "Au", "Au", "Au"], "fractional_positions": [[0.000, 0.189, 0.250], [0.000, 0.811, 0.750], [0.189, 0.000, 0.250], [0.189, 0.189, 0.750], [0.333, 0.667, 0.000], [0.333, 0.667, 0.500], [0.667, 0.333, 0.000], [0.667, 0.333, 0.500], [0.811, 0.000, 0.750], [0.811, 0.811, 0.250], [0.000, 0.400, 0.750], [0.000, 0.600, 0.250], [0.400, 0.000, 0.750], [0.400, 0.400, 0.250], [0.600, 0.000, 0.250], [0.600, 0.600, 0.750]], "vol_a3_per_cell": 275.8, "e_above_lowest_polymorph_ev_per_fu": 0.00, "ef_mev_per_atom": 356, "m_tot_mub_per_atom": 0.0000}

{"formula": "MoAu", "functional": "PBE-GGA", "state": "relaxed", "lattice_angstrom": [[4.119, 0.000, 0.000], [2.059, 3.567, 0.000], [2.059, 1.189, 3.363]], "species": ["Au", "Mo"], "fractional_positions": [[0.000, 0.000, 0.000], [0.250, 0.250, 0.250]], "vol_a3_per_cell": 49.4, "ef_mev_per_atom": 1664, "m_tot_mub_per_atom": 0.0000}

{"formula": "MoAu", "functional": "PBE-GGA", "state": "relaxed", "lattice_angstrom": [[3.348, 0.000, 0.000], [0.000, 3.348, 0.000], [0.000, 0.000, 6.058]], "species": ["Au", "Au", "Mo", "Mo"], "fractional_positions": [[0.000, 0.000, 0.999], [0.500, 0.500, 0.251], [0.000, 0.000, 0.521], [0.500, 0.500, 0.729]], "vol_a3_per_cell": 67.9, "ef_mev_per_atom": 207, "m_tot_mub_per_atom": 0.0000}